DFT (GGA+U) results for crystalline Cs2TmW3O12 at its relaxed geometry.

a b c (Å): 7.6539 7.6539 7.6539
angles (deg): 58.73 58.73 58.73
With the nearest neighbours (Å) after each atom.
Positions (direct):
Cs  0.1262  0.1262  0.1262  6 O 3.25-3.47
Cs  0.8738  0.8738  0.8738  6 O 3.25-3.47
Tm  0.5000  0.5000  0.5000  6 O 2.22
W  0.0000  0.5000  0.5000  6 O 1.90-1.96
W  0.5000  0.0000  0.5000  6 O 1.90-1.96
W  0.5000  0.5000  0.0000  6 O 1.90-1.96
O  0.1533  0.5714  0.5714  1 W 1.90
O  0.1969  0.1969  0.5658  2 W 1.96
O  0.1969  0.5658  0.1969  2 W 1.96
O  0.4286  0.4286  0.8467  1 W 1.90
O  0.4286  0.8467  0.4286  1 W 1.90
O  0.4342  0.8031  0.8031  2 W 1.96
O  0.5658  0.1969  0.1969  2 W 1.96
O  0.5714  0.1533  0.5714  1 W 1.90
O  0.5714  0.5714  0.1533  1 W 1.90
O  0.8031  0.4342  0.8031  2 W 1.96
O  0.8031  0.8031  0.4342  2 W 1.96
O  0.8467  0.4286  0.4286  1 W 1.90

symmetry: No. 166
E_tot: -7.0556 eV per atom